Fe3Cu | GGA-PBE | relaxed

Lattice parameters (Å, degrees): 4.062 4.062 4.062 60.00 60.00 60.00
Atoms (fractional coordinates):
Fe (0.000, 0.000, 0.000)
Fe (0.250, 0.250, 0.250)
Fe (0.750, 0.750, 0.750)
Cu (0.500, 0.500, 0.500)

Summary:
The volume comes out at 47.4 Å³/cell. Its space group is No. 225. As for the total energy: -7.2189 eV per atom.

***

FeCu | GGA-PBE | relaxed

Lattice parameters (Å, degrees): 6.546 6.546 6.546 90.00 90.00 90.00
Atoms (fractional coordinates):
Fe (0.000, 0.250, 0.500)
Fe (0.000, 0.750, 0.500)
Fe (0.250, 0.500, 0.000)
Fe (0.500, 0.000, 0.250)
Fe (0.500, 0.000, 0.750)
Fe (0.750, 0.500, 0.000)
Cu (0.000, 0.500, 0.250)
Cu (0.000, 0.500, 0.750)
Cu (0.250, 0.000, 0.500)
Cu (0.500, 0.250, 0.000)
Cu (0.500, 0.750, 0.000)
Cu (0.750, 0.000, 0.500)

Summary:
The volume comes out at 280.5 Å³/cell. Its space group is No. 223. As for the total energy: -4.7803 eV per atom.

***

FeCu | GGA-PBE | relaxed

Lattice parameters (Å, degrees): 4.161 4.489 4.489 121.66 90.00 90.00
Atoms (fractional coordinates):
Fe (0.000, 0.000, 0.000)
Fe (0.500, 0.032, 0.704)
Fe (0.500, 0.704, 0.032)
Cu (0.000, 0.338, 0.671)
Cu (0.000, 0.671, 0.338)
Cu (0.500, 0.369, 0.369)

Summary:
The volume comes out at 71.4 Å³/cell. Its space group is No. 38. As for the total energy: -6.1132 eV per atom.

***

Fe4Cu | GGA-PBE | relaxed

Lattice parameters (Å, degrees): 4.319 4.319 4.319 90.00 90.00 90.00
Atoms (fractional coordinates):
Fe (0.000, 0.000, 0.000)
Fe (0.000, 0.500, 0.500)
Fe (0.500, 0.000, 0.500)
Fe (0.500, 0.500, 0.000)
Cu (0.500, 0.500, 0.500)

Summary:
The excess energy over the best structure of this formula in the dataset is 27.47 kcal/mol of atoms. The volume comes out at 80.6 Å³/cell. Its space group is No. 221. As for the total energy: -6.2841 eV per atom.

***

Fe4Cu | GGA-PBE | relaxed

Lattice parameters (Å, degrees): 5.555 5.555 5.555 143.44 143.44 52.66
Atoms (fractional coordinates):
Fe (0.102, 0.102, 0.000)
Fe (0.250, 0.750, 0.500)
Fe (0.750, 0.250, 0.500)
Fe (0.898, 0.898, 0.000)
Cu (0.500, 0.500, 0.000)

Summary:
The excess energy over the best structure of this formula in the dataset is 10.13 kcal/mol of atoms. The volume comes out at 60.4 Å³/cell. Its space group is No. 139. As for the total energy: -7.0360 eV per atom.

***

Fe3Cu2 | GGA-PBE | relaxed

Lattice parameters (Å, degrees): 10.798 10.798 10.798 13.46 13.46 13.46
Atoms (fractional coordinates):
Fe (0.000, 0.000, 0.000)
Fe (0.200, 0.200, 0.200)
Fe (0.800, 0.800, 0.800)
Cu (0.400, 0.400, 0.400)
Cu (0.600, 0.600, 0.600)

Summary:
The volume comes out at 59.4 Å³/cell. Its space group is No. 166. As for the total energy: -6.5753 eV per atom.

***

FeCu | GGA-PBE | relaxed

Lattice parameters (Å, degrees): 3.763 3.763 3.763 60.00 60.00 60.00
Atoms (fractional coordinates):
Fe (0.000, 0.000, 0.000)
Cu (0.750, 0.750, 0.750)

Summary:
The volume comes out at 37.7 Å³/cell. Its space group is No. 216. As for the total energy: -4.8156 eV per atom.

***

Fe2Cu | GGA-PBE | relaxed

Lattice parameters (Å, degrees): 12.119 12.119 12.119 168.26 168.26 16.63
Atoms (fractional coordinates):
Fe (0.295, 0.545, 0.750)
Fe (0.455, 0.705, 0.750)
Fe (0.545, 0.295, 0.250)
Fe (0.705, 0.455, 0.250)
Cu (0.125, 0.875, 0.250)
Cu (0.875, 0.125, 0.750)

Summary:
The volume comes out at 73.7 Å³/cell. Its space group is No. 141. As for the total energy: -6.7506 eV per atom.

***

Fe4Cu3 | GGA-PBE | relaxed

Lattice parameters (Å, degrees): 4.637 4.637 4.605 90.00 90.00 120.00
Atoms (fractional coordinates):
Fe (0.000, 0.000, 0.239)
Fe (0.000, 0.000, 0.761)
Fe (0.333, 0.667, 0.000)
Fe (0.667, 0.333, 0.000)
Cu (0.000, 0.500, 0.500)
Cu (0.500, 0.000, 0.500)
Cu (0.500, 0.500, 0.500)

Summary:
The excess energy over the best structure of this formula in the dataset is 2.09 kcal/mol of atoms. The volume comes out at 85.7 Å³/cell. Its space group is No. 191. As for the total energy: -6.3443 eV per atom.

***

Fe5Cu | GGA-PBE | relaxed

Lattice parameters (Å, degrees): 4.665 4.665 4.665 60.00 60.00 60.00
Atoms (fractional coordinates):
Fe (0.000, 0.000, 0.000)
Fe (0.375, 0.375, 0.375)
Fe (0.375, 0.375, 0.875)
Fe (0.375, 0.875, 0.375)
Fe (0.875, 0.375, 0.375)
Cu (0.750, 0.750, 0.750)

Summary:
The excess energy over the best structure of this formula in the dataset is 2.99 kcal/mol of atoms. The volume comes out at 71.8 Å³/cell. Its space group is No. 216. As for the total energy: -7.5083 eV per atom.

***

FeCu6 | GGA-PBE | relaxed

Lattice parameters (Å, degrees): 5.520 5.520 5.520 109.47 109.47 109.47
Atoms (fractional coordinates):
Fe (0.000, 0.000, 0.000)
Cu (0.250, 0.500, 0.750)
Cu (0.250, 0.750, 0.500)
Cu (0.500, 0.250, 0.750)
Cu (0.500, 0.750, 0.250)
Cu (0.750, 0.250, 0.500)
Cu (0.750, 0.500, 0.250)

Summary:
The volume comes out at 129.5 Å³/cell. Its space group is No. 229. As for the total energy: -3.5662 eV per atom.

***

FeCu | GGA-PBE | relaxed

Lattice parameters (Å, degrees): 6.332 6.332 6.332 109.47 109.47 109.47
Atoms (fractional coordinates):
Fe (0.000, 0.000, 0.770)
Fe (0.000, 0.770, 0.000)
Fe (0.230, 0.230, 0.230)
Fe (0.770, 0.000, 0.000)
Cu (0.000, 0.000, 0.396)
Cu (0.000, 0.396, 0.000)
Cu (0.396, 0.000, 0.000)
Cu (0.604, 0.604, 0.604)

Summary:
The volume comes out at 195.4 Å³/cell. Its space group is No. 217. As for the total energy: -5.0056 eV per atom.

***

Fe5Cu | GGA-PBE | relaxed

Lattice parameters (Å, degrees): 5.005 5.005 6.214 103.72 103.72 28.29
Atoms (fractional coordinates):
Fe (0.000, 0.000, 0.000)
Fe (0.067, 0.067, 0.638)
Fe (0.402, 0.402, 0.304)
Fe (0.666, 0.666, 0.337)
Fe (0.735, 0.735, 0.972)
Cu (0.334, 0.334, 0.672)

Summary:
The excess energy over the best structure of this formula in the dataset is 1.38 kcal/mol of atoms. The volume comes out at 71.5 Å³/cell. Its space group is No. 8. As for the total energy: -7.5780 eV per atom.

***

FeCu | GGA-PBE | relaxed

Lattice parameters (Å, degrees): 8.663 8.663 8.663 16.86 16.86 16.86
Atoms (fractional coordinates):
Fe (0.125, 0.125, 0.125)
Fe (0.875, 0.875, 0.875)
Cu (0.375, 0.375, 0.375)
Cu (0.625, 0.625, 0.625)

Summary:
The volume comes out at 47.7 Å³/cell. Its space group is No. 166. As for the total energy: -6.1630 eV per atom.

***

Fe2Cu | GGA-PBE | relaxed

Lattice parameters (Å, degrees): 4.975 4.975 6.193 104.72 104.72 28.57
Atoms (fractional coordinates):
Fe (0.000, 0.000, 0.000)
Fe (0.062, 0.062, 0.628)
Fe (0.395, 0.395, 0.291)
Fe (0.730, 0.730, 0.961)
Cu (0.333, 0.333, 0.668)
Cu (0.667, 0.667, 0.339)

Summary:
The volume comes out at 70.7 Å³/cell. Its space group is No. 8. As for the total energy: -6.8593 eV per atom.

***

Fe3Cu | GGA-PBE | relaxed

Lattice parameters (Å, degrees): 4.506 4.506 2.493 90.00 90.00 111.17
Atoms (fractional coordinates):
Fe (0.000, 0.000, 0.000)
Fe (0.000, 0.500, 0.500)
Fe (0.500, 0.000, 0.500)
Cu (0.500, 0.500, 0.000)

Summary:
The volume comes out at 47.2 Å³/cell. Its space group is No. 65. As for the total energy: -7.2405 eV per atom.

***

FeCu | GGA-PBE | relaxed

Lattice parameters (Å, degrees): 3.707 3.707 4.750 90.00 90.00 120.00
Atoms (fractional coordinates):
Fe (0.333, 0.667, 0.250)
Fe (0.667, 0.333, 0.750)
Cu (0.000, 0.000, 0.000)
Cu (0.000, 0.000, 0.500)

Summary:
The volume comes out at 56.5 Å³/cell. Its space group is No. 194. As for the total energy: -5.5720 eV per atom.

***

Fe2Cu | GGA-PBE | relaxed

Lattice parameters (Å, degrees): 7.115 7.115 2.433 90.00 90.00 120.00
Atoms (fractional coordinates):
Fe (0.000, 0.310, 0.000)
Fe (0.000, 0.644, 0.500)
Fe (0.310, 0.000, 0.000)
Fe (0.356, 0.356, 0.500)
Fe (0.644, 0.000, 0.500)
Fe (0.690, 0.690, 0.000)
Cu (0.000, 0.000, 0.500)
Cu (0.333, 0.667, 0.000)
Cu (0.667, 0.333, 0.000)

Summary:
The volume comes out at 106.7 Å³/cell. Its space group is No. 189. As for the total energy: -6.8161 eV per atom.

***

Fe5Cu3 | GGA-PBE | relaxed

Lattice parameters (Å, degrees): 5.134 5.134 3.590 90.00 90.00 92.75
Atoms (fractional coordinates):
Fe (0.000, 0.000, 0.000)
Fe (0.000, 0.500, 0.000)
Fe (0.248, 0.752, 0.500)
Fe (0.500, 0.000, 0.000)
Fe (0.752, 0.248, 0.500)
Cu (0.253, 0.253, 0.500)
Cu (0.500, 0.500, 0.000)
Cu (0.747, 0.747, 0.500)

Summary:
The excess energy over the best structure of this formula in the dataset is 0.00 kcal/mol of atoms. The volume comes out at 94.5 Å³/cell. Its space group is No. 65. As for the total energy: -6.6989 eV per atom.

***

FeCu | GGA-PBE | relaxed

Lattice parameters (Å, degrees): 4.076 4.076 4.780 90.00 90.00 120.00
Atoms (fractional coordinates):
Fe (0.333, 0.667, 0.250)
Fe (0.667, 0.333, 0.750)
Cu (0.333, 0.667, 0.750)
Cu (0.667, 0.333, 0.250)

Summary:
The volume comes out at 68.8 Å³/cell. Its space group is No. 194. As for the total energy: -5.1522 eV per atom.

***

| no. | formation energy (eV per atom) |
| --- | --- |
| 1 | 0.15 |
| 2 | 1.50 |
| 3 | 0.17 |
| 4 | 1.31 |
| 5 | 0.55 |
| 6 | 0.14 |
| 7 | 1.46 |
| 8 | 0.26 |
| 9 | 0.25 |
| 10 | 0.23 |
| 11 | 1.15 |
| 12 | 1.27 |
| 13 | 0.16 |
| 14 | 0.12 |
| 15 | 0.15 |
| 16 | 0.13 |
| 17 | 0.71 |
| 18 | 0.19 |
| 19 | 0.13 |
| 20 | 1.13 |